1.
Compound: ScAlNi2Sb
Source: Alexandria via LeMat-Bulk
Functional: PBE-GGA
Structure: optimized geometry

Calculated values
* formation energy (no corrections): 864 meV per atom

a b c (Å): 4.527 4.527 5.457
angles (deg): 90.00 90.00 90.00
Sites, in units of the cell vectors:
Sc: 0.000 0.000 0.000
Al: 0.500 0.500 0.500
Ni: 0.000 0.500 0.000
Ni: 0.500 0.000 0.000
Sb: 0.000 0.000 0.500

***

2.
Compound: AlNiSb2Te
Source: Alexandria via LeMat-Bulk
Functional: PBE-GGA
Structure: optimized geometry

Calculated values
* formation energy (no corrections): 393 meV per atom

a b c (Å): 4.930 4.930 5.291
angles (deg): 90.00 90.00 90.00
Sites, in units of the cell vectors:
Al: 0.000 0.000 0.000
Ni: 0.500 0.500 0.500
Sb: 0.000 0.500 0.500
Sb: 0.500 0.000 0.500
Te: 0.500 0.500 0.000

***

3.
Compound: TiAl2NiSb
Source: Alexandria via LeMat-Bulk
Functional: PBE-GGA
Structure: optimized geometry

Calculated values
* formation energy (no corrections): -70 meV per atom

a b c (Å): 4.485 4.485 4.716
angles (deg): 90.00 90.00 90.00
Sites, in units of the cell vectors:
Ti: 0.000 0.000 0.000
Al: 0.000 0.500 0.500
Al: 0.500 0.000 0.500
Ni: 0.000 0.000 0.500
Sb: 0.500 0.500 0.000

***

4.
Compound: AlNiSb2W
Source: Alexandria via LeMat-Bulk
Functional: PBE-GGA
Structure: optimized geometry

Calculated values
* formation energy (no corrections): 1374 meV per atom

a b c (Å): 5.156 5.156 4.244
angles (deg): 90.00 90.00 90.00
Sites, in units of the cell vectors:
Al: 0.000 0.000 0.000
Ni: 0.000 0.000 0.500
Sb: 0.000 0.500 0.000
Sb: 0.500 0.000 0.000
W: 0.500 0.500 0.500

***

5.
Compound: ScAl2Ni
Source: Alexandria via LeMat-Bulk
Functional: PBE-GGA
Structure: optimized geometry

Calculated values
* E_form: -64 meV per atom

a b c (Å): 4.314 4.314 8.736
angles (deg): 90.00 90.00 117.81
Sites, in units of the cell vectors:
Sc: 0.172 0.828 0.750
Sc: 0.828 0.172 0.250
Al: 0.170 0.830 0.088
Al: 0.170 0.830 0.412
Al: 0.830 0.170 0.588
Al: 0.830 0.170 0.912
Ni: 0.484 0.516 0.250
Ni: 0.516 0.484 0.750

***

6.
Compound: ScAlNi6
Source: Alexandria via LeMat-Bulk
Functional: PBE-GGA
Structure: optimized geometry

Calculated values
* E_form: -410 meV per atom

a b c (Å): 6.303 6.303 10.318
angles (deg): 90.00 90.00 109.81
Sites, in units of the cell vectors:
Sc: 0.000 0.000 0.247
Sc: 0.000 0.000 0.753
Sc: 0.245 0.755 0.500
Sc: 0.755 0.245 0.500
Al: 0.241 0.759 0.000
Al: 0.500 0.500 0.248
Al: 0.500 0.500 0.752
Al: 0.759 0.241 0.000
Ni: 0.000 0.000 0.000
Ni: 0.000 0.000 0.500
Ni: 0.132 0.386 0.121
Ni: 0.132 0.386 0.879
Ni: 0.135 0.382 0.370
Ni: 0.135 0.382 0.630
Ni: 0.253 0.747 0.242
Ni: 0.253 0.747 0.758
Ni: 0.382 0.135 0.370
Ni: 0.382 0.135 0.630
Ni: 0.386 0.132 0.121
Ni: 0.386 0.132 0.879
Ni: 0.500 0.500 0.000
Ni: 0.500 0.500 0.500
Ni: 0.614 0.868 0.121
Ni: 0.614 0.868 0.879
Ni: 0.618 0.865 0.370
Ni: 0.618 0.865 0.630
Ni: 0.747 0.253 0.242
Ni: 0.747 0.253 0.758
Ni: 0.865 0.618 0.370
Ni: 0.865 0.618 0.630
Ni: 0.868 0.614 0.121
Ni: 0.868 0.614 0.879

***

7.
Compound: ScAl2Ni
Source: Alexandria via LeMat-Bulk
Functional: PBE-GGA
Structure: optimized geometry

Calculated values
* E_form: -368 meV per atom

a b c (Å): 4.431 4.431 4.431
angles (deg): 60.00 60.00 60.00
Sites, in units of the cell vectors:
Sc: 0.000 0.000 0.000
Al: 0.250 0.250 0.250
Al: 0.750 0.750 0.750
Ni: 0.500 0.500 0.500

***

8.
Compound: Sc3AlNi
Source: Alexandria via LeMat-Bulk
Functional: PBE-GGA
Structure: optimized geometry

Calculated values
* E_form: -71 meV per atom

a b c (Å): 4.828 4.828 4.828
angles (deg): 90.00 90.00 90.00
Sites, in units of the cell vectors:
Sc: 0.000 0.000 0.500
Sc: 0.000 0.500 0.000
Sc: 0.500 0.000 0.000
Al: 0.500 0.500 0.500
Ni: 0.000 0.000 0.000

***

9.
Compound: Sc2AlNi2
Source: Alexandria via LeMat-Bulk
Functional: PBE-GGA
Structure: optimized geometry

Calculated values
* E_form: -317 meV per atom

a b c (Å): 5.010 5.010 5.010
angles (deg): 120.79 120.79 88.65
Sites, in units of the cell vectors:
Sc: 0.250 0.750 0.500
Sc: 0.750 0.250 0.500
Al: 0.000 0.000 0.000
Ni: 0.344 0.344 0.000
Ni: 0.656 0.656 0.000

***

10.
Compound: ScAlNi3
Source: Alexandria via LeMat-Bulk
Functional: PBE-GGA
Structure: optimized geometry

Calculated values
* E_form: -360 meV per atom

a b c (Å): 7.168 7.168 4.515
angles (deg): 90.00 90.00 141.29
Sites, in units of the cell vectors:
Sc: 0.198 0.802 0.750
Sc: 0.802 0.198 0.250
Al: 0.439 0.561 0.250
Al: 0.561 0.439 0.750
Ni: 0.000 0.000 0.000
Ni: 0.000 0.000 0.500
Ni: 0.140 0.387 0.750
Ni: 0.387 0.140 0.250
Ni: 0.613 0.860 0.750
Ni: 0.860 0.613 0.250

***

11.
Compound: Sc5AlNi4
Source: Alexandria via LeMat-Bulk
Functional: PBE-GGA
Structure: optimized geometry

Calculated values
* E_form: -491 meV per atom

a b c (Å): 3.194 3.194 16.343
angles (deg): 90.00 90.00 90.00
Sites, in units of the cell vectors:
Sc: 0.000 0.000 0.000
Sc: 0.000 0.000 0.193
Sc: 0.000 0.000 0.384
Sc: 0.000 0.000 0.616
Sc: 0.000 0.000 0.807
Al: 0.500 0.500 0.500
Ni: 0.500 0.500 0.097
Ni: 0.500 0.500 0.293
Ni: 0.500 0.500 0.707
Ni: 0.500 0.500 0.903

***

12.
Compound: Sc6AlNi2
Source: Alexandria via LeMat-Bulk
Functional: PBE-GGA
Structure: optimized geometry

Calculated values
* E_form: -377 meV per atom

a b c (Å): 7.767 7.767 7.767
angles (deg): 111.29 110.89 106.28
Sites, in units of the cell vectors:
Sc: 0.034 0.237 0.797
Sc: 0.185 0.284 0.469
Sc: 0.185 0.716 0.901
Sc: 0.324 0.026 0.703
Sc: 0.324 0.621 0.297
Sc: 0.440 0.237 0.203
Sc: 0.560 0.763 0.797
Sc: 0.676 0.379 0.703
Sc: 0.676 0.974 0.297
Sc: 0.815 0.284 0.099
Sc: 0.815 0.716 0.531
Sc: 0.966 0.763 0.203
Al: 0.000 0.000 0.000
Al: 0.500 0.500 0.000
Ni: 0.127 0.627 0.500
Ni: 0.348 0.000 0.348
Ni: 0.652 0.000 0.652
Ni: 0.873 0.373 0.500

***

13.
Compound: Sc4AlNi
Source: Alexandria via LeMat-Bulk
Functional: PBE-GGA
Structure: optimized geometry

Calculated values
* E_form: -376 meV per atom

a b c (Å): 8.837 8.837 8.837
angles (deg): 60.00 60.00 60.00
Sites, in units of the cell vectors:
Sc: 0.187 0.187 0.813
Sc: 0.187 0.813 0.187
Sc: 0.187 0.813 0.813
Sc: 0.398 0.398 0.398
Sc: 0.398 0.398 0.807
Sc: 0.398 0.807 0.398
Sc: 0.560 0.560 0.940
Sc: 0.560 0.940 0.560
Sc: 0.560 0.940 0.940
Sc: 0.807 0.398 0.398
Sc: 0.813 0.187 0.187
Sc: 0.813 0.187 0.813
Sc: 0.813 0.813 0.187
Sc: 0.940 0.560 0.560
Sc: 0.940 0.560 0.940
Sc: 0.940 0.940 0.560
Al: 0.170 0.170 0.170
Al: 0.170 0.170 0.491
Al: 0.170 0.491 0.170
Al: 0.491 0.170 0.170
Ni: 0.181 0.606 0.606
Ni: 0.606 0.181 0.606
Ni: 0.606 0.606 0.181
Ni: 0.606 0.606 0.606

***

14.
Compound: ScAl2Ni
Source: Alexandria via LeMat-Bulk
Functional: PBE-GGA
Structure: optimized geometry

Calculated values
* E_form: -375 meV per atom

a b c (Å): 5.435 5.435 5.435
angles (deg): 148.90 128.54 61.35
Sites, in units of the cell vectors:
Sc: 0.000 0.000 0.000
Al: 0.284 0.784 0.500
Al: 0.716 0.216 0.500
Ni: 0.500 0.500 0.000

***

15.
Compound: ScAl3Ni4
Source: Alexandria via LeMat-Bulk
Functional: PBE-GGA
Structure: optimized geometry

Calculated values
* E_form: -620 meV per atom

a b c (Å): 7.296 7.296 7.296
angles (deg): 33.29 33.29 33.29
Sites, in units of the cell vectors:
Sc: 0.000 0.000 0.000
Al: 0.249 0.249 0.249
Al: 0.500 0.500 0.500
Al: 0.751 0.751 0.751
Ni: 0.128 0.128 0.128
Ni: 0.381 0.381 0.381
Ni: 0.619 0.619 0.619
Ni: 0.872 0.872 0.872

***

16.
Compound: ScAl2Ni
Source: Alexandria via LeMat-Bulk
Functional: PBE-GGA
Structure: optimized geometry

Calculated values
* E_form: -315 meV per atom

a b c (Å): 4.725 4.725 4.887
angles (deg): 104.97 104.97 38.61
Sites, in units of the cell vectors:
Sc: 0.000 0.000 0.000
Al: 0.526 0.526 0.524
Al: 0.775 0.775 0.330
Ni: 0.254 0.254 0.732

***

17.
Compound: Sc6Al16Ni7
Source: Alexandria via LeMat-Bulk
Functional: PBE-GGA
Structure: optimized geometry

Calculated values
* E_form: -609 meV per atom

a b c (Å): 8.564 8.564 8.564
angles (deg): 60.00 60.00 60.00
Sites, in units of the cell vectors:
Sc: 0.195 0.195 0.805
Sc: 0.195 0.805 0.195
Sc: 0.195 0.805 0.805
Sc: 0.805 0.195 0.195
Sc: 0.805 0.195 0.805
Sc: 0.805 0.805 0.195
Al: 0.142 0.619 0.619
Al: 0.166 0.166 0.166
Al: 0.166 0.166 0.501
Al: 0.166 0.501 0.166
Al: 0.381 0.381 0.381
Al: 0.381 0.381 0.858
Al: 0.381 0.858 0.381
Al: 0.499 0.834 0.834
Al: 0.501 0.166 0.166
Al: 0.619 0.142 0.619
Al: 0.619 0.619 0.142
Al: 0.619 0.619 0.619
Al: 0.834 0.499 0.834
Al: 0.834 0.834 0.499
Al: 0.834 0.834 0.834
Al: 0.858 0.381 0.381
Ni: 0.000 0.000 0.500
Ni: 0.000 0.500 0.000
Ni: 0.000 0.500 0.500
Ni: 0.500 0.000 0.000
Ni: 0.500 0.000 0.500
Ni: 0.500 0.500 0.000
Ni: 0.500 0.500 0.500

***

18.
Compound: ScAl4Ni4
Source: Alexandria via LeMat-Bulk
Functional: PBE-GGA
Structure: optimized geometry

Calculated values
* E_form: -361 meV per atom

a b c (Å): 7.665 7.665 4.334
angles (deg): 90.00 90.00 90.00
Sites, in units of the cell vectors:
Sc: 0.250 0.250 0.250
Sc: 0.750 0.750 0.750
Al: 0.107 0.841 0.678
Al: 0.159 0.607 0.178
Al: 0.341 0.893 0.178
Al: 0.393 0.659 0.678
Al: 0.607 0.341 0.322
Al: 0.659 0.107 0.822
Al: 0.841 0.393 0.822
Al: 0.893 0.159 0.322
Ni: 0.034 0.134 0.814
Ni: 0.134 0.466 0.686
Ni: 0.366 0.034 0.686
Ni: 0.466 0.366 0.814
Ni: 0.534 0.634 0.186
Ni: 0.634 0.966 0.314
Ni: 0.866 0.534 0.314
Ni: 0.966 0.866 0.186

***

19.
Compound: Sc4Al3Ni
Source: Alexandria via LeMat-Bulk
Functional: PBE-GGA
Structure: optimized geometry

Calculated values
* E_form: -468 meV per atom

a b c (Å): 3.293 3.293 13.674
angles (deg): 90.00 90.00 90.00
Sites, in units of the cell vectors:
Sc: 0.000 0.000 0.109
Sc: 0.000 0.000 0.369
Sc: 0.000 0.000 0.631
Sc: 0.000 0.000 0.891
Al: 0.500 0.500 0.240
Al: 0.500 0.500 0.500
Al: 0.500 0.500 0.760
Ni: 0.500 0.500 0.000

***

20.
Compound: ScAl2Ni9
Source: Alexandria via LeMat-Bulk
Functional: PBE-GGA
Structure: optimized geometry

Calculated values
* E_form: -298 meV per atom

a b c (Å): 8.178 8.178 8.178
angles (deg): 33.67 33.67 33.67
Sites, in units of the cell vectors:
Sc: 0.000 0.000 0.000
Al: 0.142 0.142 0.142
Al: 0.858 0.858 0.858
Ni: 0.081 0.589 0.589
Ni: 0.334 0.334 0.334
Ni: 0.411 0.411 0.919
Ni: 0.411 0.919 0.411
Ni: 0.500 0.500 0.500
Ni: 0.589 0.081 0.589
Ni: 0.589 0.589 0.081
Ni: 0.666 0.666 0.666
Ni: 0.919 0.411 0.411

***

| no. | total magnetic moment (μB/cell) | total energy (eV/atom) |
| --- | --- | --- |
| 1 | 0.0 | -4.288 |
| 2 | 0.0 | -3.789 |
| 3 | 0.0 | -5.127 |
| 4 | 2.9 | -4.771 |
| 5 | 0.0 | -4.964 |
| 6 | 4.9 | -6.005 |
| 7 | 0.0 | -5.268 |
| 8 | 0.0 | -5.775 |
| 9 | 0.0 | -5.911 |
| 10 | 0.0 | -5.843 |
| 11 | 0.0 | -6.343 |
| 12 | 0.0 | -6.298 |
| 13 | 0.0 | -6.185 |
| 14 | 0.0 | -5.274 |
| 15 | 0.0 | -5.705 |
| 16 | 0.0 | -5.214 |
| 17 | 0.0 | -5.380 |
| 18 | 0.0 | -5.298 |
| 19 | 0.0 | -5.760 |
| 20 | 0.8 | -5.785 |